Entry 1:
The following is a DFT calculation (PBE-GGA) of AlNi3Pt4 after structural relaxation.

Structure (POSCAR):
```
AlNi3Pt4
1.0
-1.9500 1.9500 7.1923
1.9500 -1.9500 7.1923
1.9500 1.9500 -7.1923
Al Ni Pt
1 3 4
direct
0.0000 0.0000 0.0000
0.2516 0.2516 0.0000
0.5000 0.5000 0.0000
0.7484 0.7484 0.0000
0.1244 0.6244 0.5000
0.3756 0.8756 0.5000
0.6244 0.1244 0.5000
0.8756 0.3756 0.5000
```

Values from the calculation:
Space group = I4/mmm, No. 139
Crystal system = tetragonal
Total magnetization = 2.68 μB/f.u.
E_form = -0.39 eV per atom
Density = 14.93 g cm⁻³
V = 13.7 Å³ per atom



Entry 2:
The following is a DFT calculation (PBE-GGA) of Na2Mg6Tl3 after structural relaxation.

Structure (POSCAR):
```
Na2Mg6Tl3
1.0
8.4354 0.0000 0.0000
-4.2177 7.3053 0.0000
0.0000 0.0000 4.9467
Na Mg Tl
2 6 3
direct
0.3333 0.6667 0.0000
0.6667 0.3333 0.0000
0.0000 0.2318 0.5000
0.0000 0.7850 0.0000
0.2150 0.2150 0.0000
0.2318 0.0000 0.5000
0.7682 0.7682 0.5000
0.7850 0.0000 0.0000
0.0000 0.5750 0.5000
0.4250 0.4250 0.5000
0.5750 0.0000 0.5000
```

Values from the calculation:
Space group = P-62m, No. 189
Crystal system = hexagonal
Total magnetization = 0.00 μB/f.u.
E_form = 0.02 eV per atom
Density = 4.38 g cm⁻³
V = 27.7 Å³ per atom



Entry 3:
The following is a DFT calculation (PBE-GGA) of Hg2OsBr after structural relaxation.

Structure (POSCAR):
```
Hg2OsBr
1.0
5.1691 0.0000 0.0000
0.0000 5.1691 0.0000
0.0000 0.0000 3.1554
Hg Os Br
2 1 1
direct
0.0000 0.5000 0.0000
0.5000 0.0000 0.0000
0.0000 0.0000 0.5000
0.5000 0.5000 0.5000
```

Values from the calculation:
Space group = P4/mmm, No. 123
Crystal system = tetragonal
Total magnetization = 1.54 μB/f.u.
E_form (uncorrected) = 0.954 eV/atom
Density = 13.22 g cm⁻³
V = 21.1 Å³ per atom



Entry 4:
The following is a DFT calculation (PBE-GGA) of NpGaGe2Rh4 after structural relaxation.

Structure (POSCAR):
```
NpGaGe2Rh4
1.0
2.1176 1.2226 8.3506
-2.1176 1.2226 8.3506
0.0000 -2.4452 8.3506
Np Ga Ge Rh
1 1 2 4
direct
0.0000 0.0000 0.0000
0.5000 0.5000 0.5000
0.2454 0.2454 0.2454
0.7546 0.7546 0.7546
0.1329 0.1329 0.1329
0.3994 0.3994 0.3994
0.6006 0.6006 0.6006
0.8671 0.8671 0.8671
```

Values from the calculation:
Space group = R-3m, No. 166
Crystal system = trigonal
Total magnetization = 3.59 μB/f.u.
E_form = -0.49 eV per atom
Density = 11.06 g cm⁻³
V = 16.2 Å³ per atom